BeCuCl: optimized geometry, PBE.

It has space group I4mm (No. 107), with a = 2.8694 Å, b = 2.8694 Å, c = 12.0001 Å, α = 90.00°, β = 90.00° and γ = 90.00°. The distinct sites, in fractional coordinates, are Be at (0.0000, 0.0000, 0.0000), Cu at (0.0000, 0.0000, 0.6062) and Cl at (0.0000, 0.0000, 0.3877).

The calculation puts the distance to the lowest polymorph of the same formula at 0.2352 eV per atom.

=====

BeCu2Cl: optimized geometry, PBE.

It has space group P4/mmm (No. 123), with a = 3.3807 Å, b = 3.3807 Å, c = 5.0633 Å, α = 90.00°, β = 90.00° and γ = 90.00°. The distinct sites, in fractional coordinates, are Be at (0.0000, 0.0000, 0.0000), Cu at (0.0000, 0.5000, 0.5000) and Cl at (0.5000, 0.5000, 0.0000).

The calculation puts the distance to the lowest polymorph of the same formula at 0.5405 eV per atom.

=====

BeCu2Cl: optimized geometry, PBE.

It has space group I-4m2 (No. 119), with a = 3.2922 Å, b = 3.2922 Å, c = 11.3529 Å, α = 90.00°, β = 90.00° and γ = 90.00°. The distinct sites, in fractional coordinates, are Be at (0.0000, 0.0000, 0.0000), Cu at (0.0000, 0.0000, 0.5000), Cu at (0.0000, 0.5000, 0.2500) and Cl at (0.0000, 0.5000, 0.7500).

The calculation puts the distance to the lowest polymorph of the same formula at 0.4205 eV per atom.

=====

BeCuCl: optimized geometry, PBE.

It has space group F-43m (No. 216), with a = 5.8645 Å, b = 5.8645 Å, c = 5.8645 Å, α = 90.00°, β = 90.00° and γ = 90.00°. The distinct sites, in fractional coordinates, are Be at (0.0000, 0.0000, 0.0000), Cu at (0.2500, 0.2500, 0.7500) and Cl at (0.0000, 0.0000, 0.5000).

The calculation puts the distance to the lowest polymorph of the same formula at 0.7441 eV per atom.

=====

> The lowest distance to the lowest polymorph of the same formula belongs to which entry?

number 1

=====

> distance to the lowest polymorph of the same formula of number 2 (BeCu2Cl)?

0.5405 eV per atom